Record 1
! TiPtPbI2, relaxed, DFT PBE; values from VASP
! SG ... No. 123
! Formation energy from raw total energies ... 686 meV per atom
! Magnetization ... 0.6 μB per formula unit
&SYSTEM
  ibrav = 0, nat = 5, ntyp = 4
/
ATOMIC_SPECIES
I 126.90 I.upf
Ti 47.87 Ti.upf
Pt 195.08 Pt.upf
Pb 207.20 Pb.upf
CELL_PARAMETERS angstrom
5.5085 0.0000 0.0000
0.0000 5.3862 0.0000
0.0000 0.0000 5.5085
ATOMIC_POSITIONS angstrom
I 2.7542 0.0000 0.0000
I 0.0000 0.0000 2.7542
Ti 2.7542 2.6931 2.7542
Pt 0.0000 0.0000 0.0000
Pb 0.0000 2.6931 0.0000

=====

Record 2
! VPtPbI2, relaxed, DFT PBE; values from VASP
! SG ... No. 123
! Formation energy from raw total energies ... 979 meV per atom
! Magnetization ... 0.1 μB per formula unit
&SYSTEM
  ibrav = 0, nat = 5, ntyp = 4
/
ATOMIC_SPECIES
Pt 195.08 Pt.upf
Pb 207.20 Pb.upf
I 126.90 I.upf
V 50.94 V.upf
CELL_PARAMETERS angstrom
-0.2037 -4.3961 3.3457
4.8602 -1.5129 -1.6921
2.3304 2.9671 4.0406
ATOMIC_POSITIONS angstrom
Pt 0.0000 0.0000 0.0000
Pb 2.4301 -0.7565 -0.8460
I -0.1018 -2.1981 1.6728
I 1.1652 1.4836 2.0203
V 3.4934 -1.4710 2.8471

=====

Record 3
! PuPbI6, relaxed, DFT PBE; values from VASP
! SG ... No. 148
! ΔE to the lowest computed polymorph ... 8 meV per atom
! Formation energy from raw total energies ... -737 meV per atom
! Magnetization ... 4.0 μB per formula unit
&SYSTEM
  ibrav = 0, nat = 8, ntyp = 3
/
ATOMIC_SPECIES
I 126.90 I.upf
Pu 244.00 Pu.upf
Pb 207.20 Pb.upf
CELL_PARAMETERS angstrom
7.7179 0.0102 0.0114
3.8502 6.6871 0.0150
3.8474 2.2240 7.0530
ATOMIC_POSITIONS angstrom
I 10.4185 4.4979 1.7351
I 6.3874 2.0996 1.7266
I 6.3241 6.7894 1.7310
I 4.9970 4.4233 5.3443
I 9.0280 6.8216 5.3528
I 9.0914 2.1318 5.3484
Pu 0.0000 0.0000 0.0000
Pb 7.7077 4.4606 3.5397

=====

Record 4
! Pu2PbI6, relaxed, DFT PBE; values from VASP
! SG ... No. 12
! Formation energy from raw total energies ... -910 meV per atom
! Magnetization ... 12.0 μB per formula unit
&SYSTEM
  ibrav = 0, nat = 9, ntyp = 3
/
ATOMIC_SPECIES
I 126.90 I.upf
Pu 244.00 Pu.upf
Pb 207.20 Pb.upf
CELL_PARAMETERS angstrom
4.4970 0.0000 0.0000
-2.2485 8.0702 -2.6744
0.0000 0.3872 10.9582
ATOMIC_POSITIONS angstrom
I 0.0000 0.8223 8.7100
I 2.2484 3.2051 0.4895
I 2.2484 7.6353 -0.4262
I 2.2485 2.5402 5.1525
I 0.0000 5.2525 7.7942
I 0.0000 5.9172 3.1313
Pu -0.0001 5.3882 -0.0449
Pu 2.2485 3.0693 8.3287
Pb 0.0000 0.1936 5.4791

=====

Record 5
! PuPbI6, relaxed, DFT PBE; values from VASP
! SG ... No. 12
! ΔE to the lowest computed polymorph ... 0 meV per atom
! Formation energy from raw total energies ... -745 meV per atom
! Magnetization ... 4.0 μB per formula unit
&SYSTEM
  ibrav = 0, nat = 8, ntyp = 3
/
ATOMIC_SPECIES
I 126.90 I.upf
Pu 244.00 Pu.upf
Pb 207.20 Pb.upf
CELL_PARAMETERS angstrom
7.6497 0.2133 1.0147
1.7019 6.5857 3.7048
0.1421 0.0912 7.8693
ATOMIC_POSITIONS angstrom
I 6.8944 5.0473 3.4980
I 2.4573 1.7517 1.2216
I 5.8708 0.9259 3.6172
I 3.0389 3.8769 4.8538
I 3.6230 5.9643 8.9717
I 6.4549 3.0133 7.7350
Pu 4.6758 3.3995 2.3598
Pb 0.0000 0.0000 0.0000

=====

Record 6
! RbPuPbI6, relaxed, DFT PBE; values from VASP
! SG ... No. 102
! Formation energy from raw total energies ... -981 meV per atom
! Magnetization ... 5.0 μB per formula unit
&SYSTEM
  ibrav = 0, nat = 18, ntyp = 4
/
ATOMIC_SPECIES
Pu 244.00 Pu.upf
I 126.90 I.upf
Pb 207.20 Pb.upf
Rb 85.47 Rb.upf
CELL_PARAMETERS angstrom
7.8830 0.0000 0.0000
0.0000 7.8830 0.0000
0.0000 0.0000 14.7618
ATOMIC_POSITIONS angstrom
Pu 3.9415 3.9415 12.2765
Pu 0.0000 0.0000 4.8955
I 1.4009 6.4821 7.3088
I 6.4821 1.4009 7.3088
I 1.7457 6.1373 12.0686
I 5.6872 5.6872 4.6877
I 6.1373 1.7457 12.0686
I 2.5406 2.5406 14.6897
I 1.6261 6.2569 2.7914
I 2.1958 2.1958 4.6877
I 6.2569 1.6261 2.7914
I 5.3424 5.3424 14.6897
I 2.3154 2.3154 10.1723
I 5.5676 5.5676 10.1723
Pb 3.9415 3.9415 2.4629
Pb 0.0000 0.0000 9.8438
Rb 0.0000 0.0000 14.7322
Rb 3.9415 3.9415 7.3513

=====

Record 7
! RbPuPb2I8, relaxed, DFT PBE; values from VASP
! SG ... No. 2
! Formation energy from raw total energies ... -884 meV per atom
! Magnetization ... 5.0 μB per formula unit
&SYSTEM
  ibrav = 0, nat = 12, ntyp = 4
/
ATOMIC_SPECIES
I 126.90 I.upf
Pu 244.00 Pu.upf
Pb 207.20 Pb.upf
Rb 85.47 Rb.upf
CELL_PARAMETERS angstrom
-3.3588 3.5877 -6.1276
2.0371 -5.6025 -4.5518
-8.4555 -4.6433 1.9108
ATOMIC_POSITIONS angstrom
I -0.8297 -4.6261 -3.9133
I -5.6261 -7.2600 -2.8367
I -9.1635 -6.4906 -5.6720
I -4.8191 -4.2049 -6.2052
I -4.1512 0.6018 -5.9320
I -0.6137 -0.1676 -3.0968
I -8.9476 -2.0320 -4.8554
I -4.9581 -2.4533 -2.5636
Pu 0.0000 0.0000 0.0000
Pb -2.7710 -2.1675 -4.8621
Pb -7.0063 -4.4907 -3.9067
Rb -4.2278 -2.3216 0.9554

=====

Record 8
! Rb2PuPbI6, relaxed, DFT PBE; values from VASP
! SG ... No. 14
! Formation energy from raw total energies ... -1095 meV per atom
! Magnetization ... 6.0 μB per formula unit
&SYSTEM
  ibrav = 0, nat = 20, ntyp = 4
/
ATOMIC_SPECIES
I 126.90 I.upf
Pb 207.20 Pb.upf
Pu 244.00 Pu.upf
Rb 85.47 Rb.upf
CELL_PARAMETERS angstrom
-2.6449 7.1430 3.6689
-7.9956 -3.8594 1.7498
4.2834 -3.9383 10.8862
ATOMIC_POSITIONS angstrom
I -6.1029 -0.6685 2.9228
I -5.6296 -3.9144 11.2681
I -4.5163 -0.9831 14.6986
I -0.2542 0.0138 13.3821
I -5.4962 3.3628 6.8722
I -1.8437 1.5338 9.0639
I -1.8407 0.3284 1.6064
I -0.1119 -1.1244 5.8941
I -4.5134 -2.1886 7.2410
I -6.2452 0.4697 10.4108
I -0.8608 -4.0175 9.4328
I -0.7274 3.2597 5.0369
Pb -1.3224 3.5715 1.8345
Pb -1.8561 -3.8988 6.3180
Pu 0.8193 1.6023 7.2776
Pu -3.9978 -1.9297 0.8749
Rb -3.4668 0.7559 5.1549
Rb -6.3167 -4.2714 4.4430
Rb -2.8902 -1.4106 11.1500
Rb -0.0403 3.6167 11.8619

=====

Record 9
! RbPu2PbI8, relaxed, DFT PBE; values from VASP
! SG ... No. 2
! Formation energy from raw total energies ... -1016 meV per atom
! Magnetization ... 11.0 μB per formula unit
&SYSTEM
  ibrav = 0, nat = 12, ntyp = 4
/
ATOMIC_SPECIES
Rb 85.47 Rb.upf
I 126.90 I.upf
Pu 244.00 Pu.upf
Pb 207.20 Pb.upf
CELL_PARAMETERS angstrom
-4.5745 -4.8741 4.3128
-2.0844 -3.7266 -6.1472
7.4595 -6.0210 1.1125
ATOMIC_POSITIONS angstrom
Rb 3.7298 -3.0105 0.5563
I 2.9416 -11.9525 -0.6570
I 1.4612 -5.8358 0.5144
I 3.4610 -8.2100 -2.9266
I -0.6605 -8.7859 -1.2363
I -0.6016 -4.9258 -3.5323
I -2.6604 -6.4117 2.2047
I 1.4023 -9.6959 2.8105
I -2.1410 -2.6692 -0.0649
Pu -1.4930 -5.7816 -0.6435
Pu 2.2937 -8.8401 -0.0783
Pb 0.0000 0.0000 0.0000

=====

Record 10
! PuTlPb2I8, relaxed, DFT PBE; values from VASP
! SG ... No. 10
! Formation energy from raw total energies ... -752 meV per atom
! Magnetization ... 5.0 μB per formula unit
&SYSTEM
  ibrav = 0, nat = 12, ntyp = 4
/
ATOMIC_SPECIES
I 126.90 I.upf
Tl 204.38 Tl.upf
Pu 244.00 Pu.upf
Pb 207.20 Pb.upf
CELL_PARAMETERS angstrom
-5.9497 0.4184 -5.0710
-0.4068 -7.4201 -0.2943
-6.2722 0.0492 7.3617
ATOMIC_POSITIONS angstrom
I -6.0781 -5.4585 4.7109
I -10.5766 -5.3095 3.7322
I -2.6240 -5.4845 0.6593
I -10.0048 -1.4680 1.3371
I -6.5506 -1.4940 -2.7146
I -7.2292 -5.1693 0.2300
I -2.0522 -1.6430 -1.7358
I -5.3996 -1.7832 1.7664
Tl -3.1361 0.0246 3.6808
Pu 0.0000 0.0000 0.0000
Pb -4.7554 -3.4886 -0.8310
Pb -7.8734 -3.4639 2.8274

=====

Record 11
! PuTlPbI6, relaxed, DFT PBE; values from VASP
! SG ... No. 163
! Formation energy from raw total energies ... -831 meV per atom
! Magnetization ... 5.0 μB per formula unit
&SYSTEM
  ibrav = 0, nat = 18, ntyp = 4
/
ATOMIC_SPECIES
Pu 244.00 Pu.upf
I 126.90 I.upf
Pb 207.20 Pb.upf
Tl 204.38 Tl.upf
CELL_PARAMETERS angstrom
8.1164 0.0000 0.0000
-4.0582 7.0290 0.0000
0.0000 0.0000 15.3104
ATOMIC_POSITIONS angstrom
Pu 4.0582 2.3430 3.8276
Pu 0.0000 4.6860 11.4828
I 6.5626 2.4942 1.9893
I 1.3832 2.5928 13.3211
I 5.4414 4.4362 5.6659
I 1.1212 6.9305 13.3211
I 2.9370 0.0985 1.9893
I -2.5044 4.5348 13.3211
I -1.3832 2.5928 9.6445
I -1.1212 6.9305 9.6445
I 5.1794 0.0985 5.6659
I 2.5044 4.5348 9.6445
I 2.6751 4.4362 1.9893
I 1.5538 2.4942 5.6659
Pb 4.0582 2.3430 11.4828
Pb 0.0000 4.6860 3.8276
Tl 0.0000 0.0000 7.6552
Tl 0.0000 0.0000 0.0000

=====

Record 12
! Rb2Pb2I7, relaxed, DFT PBE; values from VASP
! SG ... No. 65
! Formation energy from raw total energies ... -784 meV per atom
! Magnetization ... 0.0 μB per formula unit
&SYSTEM
  ibrav = 0, nat = 11, ntyp = 3
/
ATOMIC_SPECIES
I 126.90 I.upf
Pb 207.20 Pb.upf
Rb 85.47 Rb.upf
CELL_PARAMETERS angstrom
7.8653 -0.0033 -0.3490
0.0039 8.8336 0.0040
-0.8384 -0.0031 7.8283
ATOMIC_POSITIONS angstrom
I 3.9336 2.1356 -0.1735
I 0.0000 0.0000 0.0000
I 3.5144 2.0055 3.7405
I -0.4162 6.6947 3.9171
I 3.5164 6.8217 3.7427
I 7.4470 2.1324 3.5661
I 3.0972 6.6915 7.6568
Pb 1.5095 8.8304 5.6300
Pb 5.5213 -0.0032 1.8533
Rb 1.6487 4.4153 1.7547
Rb 5.3821 4.4119 5.7285

=====

Record 13
! RbPb2I, relaxed, DFT PBE; values from VASP
! SG ... No. 225
! ΔE to the lowest computed polymorph ... 206 meV per atom
! Formation energy from raw total energies ... 156 meV per atom
! Magnetization ... 0.0 μB per formula unit
&SYSTEM
  ibrav = 0, nat = 4, ntyp = 3
/
ATOMIC_SPECIES
Pb 207.20 Pb.upf
I 126.90 I.upf
Rb 85.47 Rb.upf
CELL_PARAMETERS angstrom
-2.9849 -4.9358 -1.6389
-4.1009 -2.3812 3.6702
-5.8237 0.3401 -1.3879
ATOMIC_POSITIONS angstrom
Pb -9.6821 -5.2327 0.4825
Pb -3.2274 -1.7442 0.1608
I -6.4548 -3.4885 0.3217
Rb 0.0000 0.0000 0.0000

=====

Record 14
! Rb3Pb5I12, relaxed, DFT PBE; values from VASP
! SG ... No. 230
! Formation energy from raw total energies ... -789 meV per atom
! Magnetization ... 0.0 μB per formula unit
&SYSTEM
  ibrav = 0, nat = 80, ntyp = 3
/
ATOMIC_SPECIES
Pb 207.20 Pb.upf
I 126.90 I.upf
Rb 85.47 Rb.upf
CELL_PARAMETERS angstrom
-1.3378 -6.2419 16.5165
8.1514 -11.9685 -10.1908
9.3722 15.0231 0.1087
ATOMIC_POSITIONS angstrom
Pb 5.2326 -1.5127 -1.7298
Pb 6.7250 0.9357 11.9721
Pb 9.4610 -4.1230 -5.5378
Pb 0.0000 0.0000 0.0000
Pb 4.6861 7.5115 0.0543
Pb 4.0172 4.3906 8.3126
Pb 3.4068 -9.1052 3.1628
Pb 8.0930 -1.5937 3.2172
Pb 7.5464 7.4305 5.0013
Pb 13.4782 0.2676 2.7748
Pb 8.5800 3.3408 0.3755
Pb 4.0757 -5.9843 -5.0954
Pb -0.6689 -3.1209 8.2582
Pb 2.7077 -3.4549 3.6596
Pb 8.6395 -10.6179 1.4330
Pb 10.9533 -1.6746 8.1642
Pb 8.2163 6.9677 11.2086
Pb 7.9696 -10.1550 -4.7742
Pb 7.6059 -6.5281 6.0589
Pb 8.7618 1.5273 -5.0410
I 9.5581 12.3991 2.0743
I 5.1285 -10.4726 10.0091
I 7.0793 8.4977 2.0752
I 6.6278 -15.5864 4.3601
I 4.0458 -4.3876 -2.2261
I 6.2633 2.1258 9.0928
I 10.7304 5.6156 0.7230
I 0.3390 -5.3643 10.4343
I 12.5371 2.8264 4.3519
I 5.6058 -1.9822 11.5804
I 3.2309 0.4806 -0.3371
I 14.8245 -2.0222 -3.5078
I 10.8748 -5.7429 -7.8392
I 5.9407 4.8084 5.6841
I 8.4660 -9.6879 -7.8492
I 5.6931 -9.6570 0.8712
I 14.0910 0.7887 -0.2703
I 9.1066 -11.6850 4.3592
I 11.2846 -1.9811 2.5489
I 1.3614 -1.1651 9.9422
I 10.1693 4.8776 9.8906
I 11.0574 7.2853 -3.5747
I 5.6824 4.3985 -0.2611
I 10.5801 -1.2052 -5.1460
I 5.3111 2.5556 14.2736
I 9.9226 -5.3131 -2.6585
I 8.1562 -4.8694 3.4386
I 7.7199 6.5006 14.2835
I 6.3084 -4.8542 8.3901
I 4.9013 -1.2062 3.8855
I 13.4163 -5.1347 -0.0734
I 12.1401 1.2003 8.6604
I 10.4928 6.4697 5.5632
I 7.7600 -2.2207 0.0111
I 3.6488 -6.0137 2.0825
I 2.0949 -3.9760 6.7047
I 9.8775 1.6669 -1.9557
I 15.8469 2.1769 -3.9999
I 5.4555 -8.8029 5.7113
I 11.6300 2.9775 -5.7149
I 12.9550 -3.6679 6.7714
I 4.5560 -6.1648 12.1493
I 2.7696 1.9474 6.5078
I 6.0166 -8.0649 -3.4562
I 10.5035 -7.5858 6.6954
I 8.0297 1.6821 2.9958
I 10.2452 -7.9958 0.7503
I 8.4259 -0.9666 6.4233
Rb 11.4696 -1.9277 -1.3815
Rb 10.0714 9.3728 -0.3880
Rb 9.2499 2.8780 6.5828
Rb 12.9609 4.1044 -2.1450
Rb 6.9360 -6.0653 -0.1484
Rb 6.1146 -12.5601 6.8224
Rb 4.1991 2.5771 2.8960
Rb 3.2250 -7.2917 8.5794
Rb 2.1914 -3.2019 13.2052
Rb 13.9945 0.0146 -6.7708
Rb 4.7163 -1.2596 7.8159
Rb 11.9868 -5.7644 3.5383

=====

Record 15
! Rb3Pb2I7, relaxed, DFT PBE; values from VASP
! SG ... No. 2
! Formation energy from raw total energies ... -1036 meV per atom
! Magnetization ... 0.0 μB per formula unit
&SYSTEM
  ibrav = 0, nat = 12, ntyp = 3
/
ATOMIC_SPECIES
I 126.90 I.upf
Rb 85.47 Rb.upf
Pb 207.20 Pb.upf
CELL_PARAMETERS angstrom
-4.4195 -4.4145 -1.0306
1.8222 -0.4865 -6.1202
11.5196 -8.6915 7.0112
ATOMIC_POSITIONS angstrom
I 4.2611 -4.6108 1.1994
I 2.7305 -2.4207 -2.2291
I -0.2858 -4.4863 0.6686
I 6.1918 -11.1717 2.0895
I 9.2080 -9.1061 -0.8082
I 0.0000 0.0000 0.0000
I 4.6611 -8.9816 -1.3390
Rb 6.7828 -7.2374 1.5269
Rb 2.1394 -6.3550 -1.6665
Rb -1.2987 -2.4505 -3.5754
Pb 2.0723 -2.3537 0.8730
Pb 6.8499 -11.2387 -1.0126

=====

Record 16
! Rb6PbI8, relaxed, DFT PBE; values from VASP
! SG ... No. 148
! Formation energy from raw total energies ... -1307 meV per atom
! Magnetization ... 0.0 μB per formula unit
&SYSTEM
  ibrav = 0, nat = 15, ntyp = 3
/
ATOMIC_SPECIES
I 126.90 I.upf
Rb 85.47 Rb.upf
Pb 207.20 Pb.upf
CELL_PARAMETERS angstrom
9.1072 0.2704 3.1348
2.3209 8.8107 3.1348
0.3402 0.2704 9.6256
ATOMIC_POSITIONS angstrom
I 7.7493 6.1577 10.4667
I 8.2794 8.1876 6.5447
I 2.9242 7.4572 6.0661
I 8.8442 1.8942 9.8290
I 3.4890 1.1638 9.3505
I 8.3824 3.1359 4.5673
I 3.3860 6.2155 11.3278
I 4.0191 3.1937 5.4285
Rb 6.0000 6.2776 4.2644
Rb 6.6411 0.8492 6.9834
Rb 1.8983 4.4266 8.3902
Rb 9.8700 4.9248 7.5050
Rb 5.1272 8.5022 8.9118
Rb 5.7684 3.0738 11.6307
Pb 0.0000 0.0000 0.0000

=====

Record 17
! Rb2Pb2I, relaxed, DFT PBE; values from VASP
! SG ... No. 127
! Formation energy from raw total energies ... -267 meV per atom
! Magnetization ... 0.0 μB per formula unit
&SYSTEM
  ibrav = 0, nat = 10, ntyp = 3
/
ATOMIC_SPECIES
I 126.90 I.upf
Rb 85.47 Rb.upf
Pb 207.20 Pb.upf
CELL_PARAMETERS angstrom
10.7024 0.0000 0.0000
0.0000 10.7024 0.0000
0.0000 0.0000 4.4747
ATOMIC_POSITIONS angstrom
I 5.3512 5.3512 0.0000
I 0.0000 0.0000 0.0000
Rb 8.4864 7.5672 0.0000
Rb 7.5672 2.2160 0.0000
Rb 3.1352 8.4864 0.0000
Rb 2.2160 3.1352 0.0000
Pb 4.3550 0.9963 2.2374
Pb 0.9963 6.3475 2.2374
Pb 6.3475 9.7062 2.2374
Pb 9.7062 4.3550 2.2374

=====

Record 18
! Rb2PbI, relaxed, DFT PBE; values from VASP
! SG ... No. 225
! ΔE to the lowest computed polymorph ... 0 meV per atom
! Formation energy from raw total energies ... -428 meV per atom
! Magnetization ... 3.0 μB per formula unit
&SYSTEM
  ibrav = 0, nat = 4, ntyp = 3
/
ATOMIC_SPECIES
Pb 207.20 Pb.upf
Rb 85.47 Rb.upf
I 126.90 I.upf
CELL_PARAMETERS angstrom
3.6513 -2.2933 4.8926
4.3133 3.8982 2.9545
-1.0820 2.0263 6.1035
ATOMIC_POSITIONS angstrom
Pb 3.4413 1.8155 6.9753
Rb 5.1619 2.7233 10.4630
Rb 1.7206 0.9078 3.4877
I 0.0000 0.0000 0.0000